Record 1
BaCl SCAN single point on PBEsol structure; electronic total energy = -25.689 eV per atom; symmetry = Cmcm (63); D(E_F) = 0.60 states/eV per atom
1.0
2.6567 -4.6142 0.0000
2.6567 4.6142 0.0000
0.0000 0.0000 6.3159
Ba Cl
2 2
direct
0.1658 0.8342 0.7500
0.8342 0.1658 0.2500
0.1671 0.8329 0.2500
0.8329 0.1671 0.7500


Record 2
InAg3 SCAN single point on PBEsol structure; electronic total energy = -31.893 eV per atom; ΔE_f = -21.3 meV per atom; symmetry = Pm-3m (221); D(E_F) = 0.26 states/eV per atom
1.0
4.1300 0.0000 0.0000
0.0000 4.1300 0.0000
0.0000 0.0000 4.1300
In Ag
1 3
direct
0.0000 0.0000 0.0000
0.0000 0.5000 0.5000
0.5000 0.0000 0.5000
0.5000 0.5000 0.0000


Record 3
YCd2W SCAN single point on PBEsol structure; distance to the lowest polymorph of the same formula = 2 meV/atom; electronic total energy = -39.139 eV per atom; ΔE_f = 451.3 meV per atom; symmetry = Imm2 (44); D(E_F) = 0.62 states/eV per atom
1.0
-1.5364 2.6056 5.0710
1.5364 -2.6056 5.0710
1.5364 2.6056 -5.0710
Y Cd W
1 2 1
direct
0.0000 0.0000 0.0000
0.2715 0.7715 0.5000
0.5138 0.5138 0.0000
0.7525 0.2525 0.5000


Record 4
SrTl2Re SCAN single point on PBEsol structure; electronic total energy = -58.991 eV per atom; ΔE_f = 531.2 meV per atom; symmetry = Imm2 (44); D(E_F) = 0.50 states/eV per atom
1.0
-1.5710 2.2914 7.1621
1.5710 -2.2914 7.1621
1.5710 2.2914 -7.1621
Sr Tl Re
1 2 1
direct
0.0000 0.0000 0.0000
0.3165 0.8165 0.5000
0.6409 0.6409 0.0000
0.8066 0.3066 0.5000